Compound: Cd2IrW
Source: the Alexandria database
Functional: PBE-GGA
Structure: optimized geometry

## Properties
The space-group type is Imm2. As for the density of states at the Fermi level: 4.24 states/eV/cell. The energy above the most stable polymorph in this dataset comes out at 0.343 eV per atom.

```
8
Lattice="2.852 0.000 0.000 0.000 4.952 0.000 0.000 0.000 10.550" Properties=species:S:1:pos:R:3 pbc="T T T"
Cd 0.000 0.000 0.000
Cd 0.000 2.476 2.198
Cd 1.426 0.000 7.473
Cd 1.426 2.476 5.275
Ir 0.000 2.476 7.903
Ir 1.426 0.000 2.628
W 0.000 0.000 4.735
W 1.426 2.476 10.010
```